1.
The following is a DFT calculation (PBE-GGA) of LiY2Sc after structural relaxation.

Lattice parameters (Å, degrees): 3.773 5.367 5.462 90.00 90.00 90.00
Atoms (fractional coordinates):
1 Li 0.000 0.000 0.000
2 Y 0.000 0.500 0.500
3 Y 0.500 0.500 0.000
4 Sc 0.500 0.000 0.500

Output
- ΔE_f: 0.21 eV per atom
- E_tot: -20.3 eV/cell
- Excess energy over the best structure of this formula in the dataset: 0.519 eV per formula unit


2.
The following is a DFT calculation (PBE-GGA) of Ac2TlSn3Pt4 after structural relaxation.

Lattice parameters (Å, degrees): 4.714 4.714 10.897 90.00 90.00 90.00
Atoms (fractional coordinates):
1 Ac 0.000 0.500 0.243
2 Ac 0.500 0.000 0.757
3 Tl 0.000 0.000 0.500
4 Sn 0.000 0.500 0.879
5 Sn 0.500 0.000 0.121
6 Sn 0.500 0.500 0.500
7 Pt 0.000 0.000 0.000
8 Pt 0.000 0.500 0.638
9 Pt 0.500 0.000 0.362
10 Pt 0.500 0.500 0.000

Output
- ΔE_f: -0.81 eV per atom
- E_tot: -54.9 eV/cell


What is the formula in the second record?
Ac2TlSn3Pt4


Number 1 is which compound?
LiY2Sc


Which value of E_tot does entry 1 give?
-20.3 eV/cell


What is the ΔE_f in the second record?
-0.81 eV per atom